## a
The following is a DFT calculation (PBE-GGA) of a relaxed Ba2Nd crystal.

Cell: 16.1572 16.1572 16.1572 Å, 90.00 90.00 90.00°
Space group Fd-3m (No. 227, origin choice 2)
Asymmetric unit:
Ba 0.0000 0.0000 0.0000 x16
Nd 0.1250 0.1250 0.1250 x8

Computed properties:
- V (Å³/atom) = 175.7

## b
The following is a DFT calculation (PBE-GGA) of a relaxed Ba2Nd crystal.

Cell: 10.5838 10.5838 10.5838 Å, 90.00 90.00 90.00°
Space group Fd-3m (No. 227, origin choice 2)
Asymmetric unit:
Ba 0.0000 0.0000 0.0000 x16
Nd 0.1250 0.1250 0.6250 x8

Computed properties:
- V (Å³/atom) = 49.4

Most stable structure, least stable structure: b, a.

## a
The following is a DFT calculation (PBE-GGA) of a relaxed BaNdPO crystal.

Cell: 5.0322 5.0322 9.7266 Å, 90.00 90.00 90.00°
Space group P4/nmm (No. 129, origin choice 2)
Asymmetric unit:
Ba 0.2500 0.2500 0.0847 x2
Nd 0.2500 0.7500 0.5000 x2
P 0.2500 0.2500 0.6318 x2
O 0.2500 0.7500 0.0000 x2

Computed properties:
- V (Å³/atom) = 30.8

## b
The following is a DFT calculation (PBE-GGA) of a relaxed BaNdPO crystal.

Cell: 4.6531 7.7218 6.7476 Å, 90.00 90.00 90.00°
Space group Pmc2_1 (No. 26)
Asymmetric unit:
Ba 0.0000 0.1976 0.0000 x2
Nd 0.5000 0.3797 0.5801 x2
P 0.0000 0.2117 0.4713 x2
O 0.5000 0.3620 0.9191 x2

Computed properties:
- V (Å³/atom) = 30.3

Most stable structure, least stable structure: b, a.